i | A relaxed Li4Zn2In crystal, computed with PBE-GGA.

For the volume, the calculation gives 16.210 Å³ per atom. Its density of states at the Fermi level is 2.14 states/eV/f.u.

It has space group C2/m (No. 12), with a = 7.7509 Å, b = 4.5054 Å, c = 6.9909 Å, α = 90.00°, β = 111.63° and γ = 90.00°. The inequivalent atoms are Li at (0.0694, 0.0000, 0.2098), Li at (0.2212, 0.0000, 0.6652), Zn at (0.1456, 0.5000, 0.9344) and In at (0.0000, 0.5000, 0.5000).

***

ii | A relaxed Li4Zn2In crystal, computed with PBE-GGA.

For the volume, the calculation gives 18.931 Å³ per atom. Its density of states at the Fermi level is 1.58 states/eV/f.u.

It has space group I4/mmm (No. 139), with a = 6.3051 Å, b = 6.3051 Å, c = 6.6668 Å, α = 90.00°, β = 90.00° and γ = 90.00°. The inequivalent atoms are Li at (0.2500, 0.2500, 0.2500), Zn at (0.0000, 0.5000, 0.0000) and In at (0.0000, 0.0000, 0.0000).

***

Energy ordering: i at the bottom, the next structure 0.143 eV/atom above.

***

i | A relaxed LiZnIn3 crystal, computed with PBE-GGA.

For the volume, the calculation gives 23.096 Å³ per atom. Its density of states at the Fermi level is 1.52 states/eV/f.u.

It has space group Pmmn (No. 59, origin choice 2), with a = 4.4113 Å, b = 7.4276 Å, c = 7.0490 Å, α = 90.00°, β = 90.00° and γ = 90.00°. The inequivalent atoms are Li at (0.2500, 0.2500, 0.2044), Zn at (0.2500, 0.7500, 0.0640), In at (0.2500, 0.0355, 0.7946) and In at (0.2500, 0.7500, 0.4730).

***

ii | A relaxed LiZnIn3 crystal, computed with PBE-GGA.

For the volume, the calculation gives 29.164 Å³ per atom. Its density of states at the Fermi level is 3.51 states/eV/f.u.

It has space group Pm-3m (No. 221), with a = 5.2635 Å, b = 5.2635 Å, c = 5.2635 Å, α = 90.00°, β = 90.00° and γ = 90.00°. The inequivalent atoms are Li at (0.0000, 0.0000, 0.0000), Zn at (0.5000, 0.5000, 0.5000) and In at (0.0000, 0.5000, 0.5000).

***

Energy ordering: i at the bottom, the next structure 0.249 eV/atom above.

***

i | A relaxed Li2Zn3In crystal, computed with PBE-GGA.

For the volume, the calculation gives 17.265 Å³ per atom. Its density of states at the Fermi level is 1.15 states/eV/f.u.

It has space group Fmmm (No. 69), with a = 5.7958 Å, b = 9.1788 Å, c = 15.5781 Å, α = 90.00°, β = 90.00° and γ = 90.00°. The inequivalent atoms are Li at (0.2462, 0.0000, 0.0000), Li at (0.2500, 0.2500, 0.2500), Zn at (0.0000, 0.0000, 0.1595), Zn at (0.0000, 0.2412, 0.0810) and In at (0.0000, 0.0000, 0.3335).

***

ii | A relaxed Li2Zn3In crystal, computed with PBE-GGA.

For the volume, the calculation gives 16.776 Å³ per atom. Its density of states at the Fermi level is 1.63 states/eV/f.u.

It has space group P-1 (No. 2), with a = 4.9178 Å, b = 5.2489 Å, c = 8.5107 Å, α = 91.22°, β = 98.68° and γ = 111.53°. The inequivalent atoms are Li at (0.0157, 0.3186, 0.1107), Li at (0.2748, 0.0248, 0.5926), Zn at (0.2155, 0.4884, 0.4271), Zn at (0.3786, 0.5629, 0.7322), Zn at (0.4370, 0.2264, 0.9572) and In at (0.1623, 0.8953, 0.2263).

***

Energy ordering: i at the bottom, the next structure 0.032 eV/atom above.

***

i | A relaxed Li3ZnIn2 crystal, computed with PBE-GGA.

For the volume, the calculation gives 19.266 Å³ per atom. Its density of states at the Fermi level is 1.93 states/eV/f.u.

It has space group Ibam (No. 72), with a = 5.7510 Å, b = 14.9446 Å, c = 5.3799 Å, α = 90.00°, β = 90.00° and γ = 90.00°. The inequivalent atoms are Li at (0.0000, 0.0000, 0.2500), Li at (0.1625, 0.3517, 0.0000), Zn at (0.0000, 0.5000, 0.2500) and In at (0.1674, 0.1595, 0.0000).

***

ii | A relaxed Li3ZnIn2 crystal, computed with PBE-GGA.

For the volume, the calculation gives 17.885 Å³ per atom. Its density of states at the Fermi level is 1.67 states/eV/f.u.

It has space group Cmmm (No. 65), with a = 4.6324 Å, b = 13.8883 Å, c = 6.6719 Å, α = 90.00°, β = 90.00° and γ = 90.00°. The inequivalent atoms are Li at (0.0000, 0.0000, 0.2443), Li at (0.0000, 0.3263, 0.2263), Zn at (0.0000, 0.1586, 0.0000), In at (0.0000, 0.1664, 0.5000), In at (0.0000, 0.5000, 0.0000) and In at (0.0000, 0.5000, 0.5000).

***

Energy ordering: ii at the bottom, the next structure 0.113 eV/atom above.

***

i | A relaxed Lu2NbIn crystal, computed with PBE-GGA.

For the volume, the calculation gives 23.325 Å³ per atom. Its density of states at the Fermi level is 4.31 states/eV/f.u.

It has space group P4/mmm (No. 123), with a = 4.5833 Å, b = 4.5833 Å, c = 4.4414 Å, α = 90.00°, β = 90.00° and γ = 90.00°. The inequivalent atoms are Lu at (0.0000, 0.5000, 0.0000), Nb at (0.0000, 0.0000, 0.5000) and In at (0.5000, 0.5000, 0.5000).

***

ii | A relaxed Lu2NbIn crystal, computed with PBE-GGA.

For the volume, the calculation gives 24.436 Å³ per atom. Its density of states at the Fermi level is 4.20 states/eV/f.u.

It has space group R-3m (No. 166, hexagonal axes), with a = 3.3233 Å, b = 3.3233 Å, c = 30.6573 Å, α = 90.00°, β = 90.00° and γ = 120.00°. The inequivalent atoms are Lu at (0.0000, 0.0000, 0.2463), Nb at (0.0000, 0.0000, 0.5000) and In at (0.0000, 0.0000, 0.0000).

***

iii | A relaxed Lu2NbIn crystal, computed with PBE-GGA.

For the volume, the calculation gives 24.206 Å³ per atom. Its density of states at the Fermi level is 5.06 states/eV/f.u.

It has space group P4/mmm (No. 123), with a = 3.5052 Å, b = 3.5052 Å, c = 7.8805 Å, α = 90.00°, β = 90.00° and γ = 90.00°. The inequivalent atoms are Lu at (0.0000, 0.0000, 0.2371), Nb at (0.5000, 0.5000, 0.0000) and In at (0.5000, 0.5000, 0.5000).

***

Energy ordering: iii at the bottom, the next structure 0.012 eV/atom above.

***

i | A relaxed NdLu2In crystal, computed with PBE-GGA.

For the volume, the calculation gives 28.959 Å³ per atom. Its density of states at the Fermi level is 2.92 states/eV/f.u.

It has space group P4/mmm (No. 123), with a = 3.5815 Å, b = 3.5815 Å, c = 9.0304 Å, α = 90.00°, β = 90.00° and γ = 90.00°. The inequivalent atoms are Nd at (0.0000, 0.0000, 0.0000), Lu at (0.5000, 0.5000, 0.2778) and In at (0.0000, 0.0000, 0.5000).

***

ii | A relaxed NdLu2In crystal, computed with PBE-GGA.

For the volume, the calculation gives 28.219 Å³ per atom. Its density of states at the Fermi level is 6.39 states/eV/f.u.

It has space group Fm-3m (No. 225), with a = 7.6716 Å, b = 7.6716 Å, c = 7.6716 Å, α = 90.00°, β = 90.00° and γ = 90.00°. The inequivalent atoms are Nd at (0.0000, 0.0000, 0.0000), Lu at (0.2500, 0.2500, 0.2500) and In at (0.0000, 0.0000, 0.5000).

***

iii | A relaxed NdLu2In crystal, computed with PBE-GGA.

For the volume, the calculation gives 28.314 Å³ per atom. Its density of states at the Fermi level is 5.03 states/eV/f.u.

It has space group P4/mmm (No. 123), with a = 4.8530 Å, b = 4.8530 Å, c = 4.8089 Å, α = 90.00°, β = 90.00° and γ = 90.00°. The inequivalent atoms are Nd at (0.0000, 0.0000, 0.0000), Lu at (0.0000, 0.5000, 0.5000) and In at (0.5000, 0.5000, 0.0000).

***

Energy ordering: iii at the bottom, the next structure 0.016 eV/atom above.

***

i | A relaxed Nd2LuIn crystal, computed with PBE-GGA.

For the volume, the calculation gives 30.008 Å³ per atom. Its density of states at the Fermi level is 7.10 states/eV/f.u.

It has space group Fm-3m (No. 225), with a = 7.8305 Å, b = 7.8305 Å, c = 7.8305 Å, α = 90.00°, β = 90.00° and γ = 90.00°. The inequivalent atoms are Nd at (0.2500, 0.2500, 0.2500), Lu at (0.0000, 0.0000, 0.0000) and In at (0.0000, 0.0000, 0.5000).

***

ii | A relaxed Nd2LuIn crystal, computed with PBE-GGA.

For the volume, the calculation gives 31.107 Å³ per atom. Its density of states at the Fermi level is 6.59 states/eV/f.u.

It has space group P4/mmm (No. 123), with a = 3.6093 Å, b = 3.6093 Å, c = 9.5514 Å, α = 90.00°, β = 90.00° and γ = 90.00°. The inequivalent atoms are Nd at (0.0000, 0.0000, 0.2308), Lu at (0.5000, 0.5000, 0.5000) and In at (0.5000, 0.5000, 0.0000).

***

Energy ordering: ii at the bottom, the next structure 0.025 eV/atom above.

***

i | A relaxed NdLuIn crystal, computed with PBE-GGA.

For the volume, the calculation gives 29.299 Å³ per atom. Its density of states at the Fermi level is 3.11 states/eV/f.u.

It has space group I4mm (No. 107), with a = 3.5834 Å, b = 3.5834 Å, c = 13.6905 Å, α = 90.00°, β = 90.00° and γ = 90.00°. The inequivalent atoms are Nd at (0.0000, 0.0000, 0.0000), Lu at (0.0000, 0.0000, 0.6898) and In at (0.0000, 0.0000, 0.3356).

***

ii | A relaxed NdLuIn crystal, computed with PBE-GGA.

For the volume, the calculation gives 29.733 Å³ per atom. Its density of states at the Fermi level is 2.15 states/eV/f.u.

It has space group P3m1 (No. 156), with a = 5.2459 Å, b = 5.2459 Å, c = 3.7427 Å, α = 90.00°, β = 90.00° and γ = 120.00°. The inequivalent atoms are Nd at (0.0000, 0.0000, 0.0000), Lu at (0.6667, 0.3333, 0.5330) and In at (0.3333, 0.6667, 0.4257).

***

Energy ordering: i at the bottom, the next structure 0.054 eV/atom above.